(1)
The following is a DFT calculation (PBE) of a geometry-optimized PaSnRh4S8 structure.

a = 7.234 Å, b = 7.234 Å, c = 7.234 Å
α = 61.79°, β = 61.79°, γ = 61.79°
Sites, in units of the cell vectors:
Pa 0.000 0.000 0.000
Sn 0.610 0.610 0.610
Rh 0.357 0.357 0.357
Rh 0.474 0.990 0.990
Rh 0.990 0.474 0.990
Rh 0.990 0.990 0.474
S 0.188 0.738 0.738
S 0.225 0.225 0.225
S 0.250 0.250 0.746
S 0.250 0.746 0.250
S 0.738 0.188 0.738
S 0.738 0.738 0.188
S 0.746 0.250 0.250
S 0.755 0.755 0.755

Values from the calculation:
calculated volume	278.4	Å³ per cell
formation energy from raw total energies	-0.620	eV per atom



(2)
The following is a DFT calculation (PBE) of a geometry-optimized Li2TaAsI structure.

a = 4.421 Å, b = 4.421 Å, c = 7.091 Å
α = 90.00°, β = 90.00°, γ = 90.00°
Sites, in units of the cell vectors:
Li 0.000 0.500 0.000
Li 0.500 0.000 0.000
Ta 0.000 0.000 0.500
As 0.500 0.500 0.500
I 0.500 0.500 0.000

Values from the calculation:
calculated volume	138.6	Å³ per cell
formation energy from raw total energies	0.976	eV per atom



(3)
The following is a DFT calculation (PBE) of a geometry-optimized BaY4Cl structure.

a = 6.925 Å, b = 6.925 Å, c = 6.925 Å
α = 60.00°, β = 60.00°, γ = 60.00°
Sites, in units of the cell vectors:
Ba 0.000 0.000 0.000
Y 0.374 0.374 0.374
Y 0.374 0.374 0.879
Y 0.374 0.879 0.374
Y 0.879 0.374 0.374
Cl 0.750 0.750 0.750

Values from the calculation:
calculated volume	234.8	Å³ per cell
formation energy from raw total energies	0.294	eV per atom



(4)
The following is a DFT calculation (PBE) of a geometry-optimized V3ReIr structure.

a = 4.491 Å, b = 4.491 Å, c = 4.491 Å
α = 90.00°, β = 90.00°, γ = 90.00°
Sites, in units of the cell vectors:
V 0.000 0.000 0.500
V 0.000 0.500 0.000
V 0.500 0.000 0.000
Re 0.000 0.000 0.000
Ir 0.500 0.500 0.500

Values from the calculation:
formation enthalpy at 0 K	654	kJ/mol of formula units
calculated volume	90.6	Å³ per cell



(5)
The following is a DFT calculation (PBE) of a geometry-optimized CsTe3As structure.

a = 5.679 Å, b = 5.679 Å, c = 5.679 Å
α = 90.00°, β = 90.00°, γ = 90.00°
Sites, in units of the cell vectors:
Cs 0.000 0.000 0.000
Te 0.000 0.500 0.500
Te 0.500 0.000 0.500
Te 0.500 0.500 0.000
As 0.500 0.500 0.500

Values from the calculation:
calculated volume	183.2	Å³ per cell
formation energy from raw total energies	-0.133	eV per atom



(6)
The following is a DFT calculation (PBE) of a geometry-optimized TbDy2YTh structure.

a = 8.450 Å, b = 6.388 Å, c = 6.312 Å
α = 90.00°, β = 96.72°, γ = 90.00°
Sites, in units of the cell vectors:
Tb 0.000 0.000 0.000
Tb 0.000 0.000 0.500
Dy 0.312 0.303 0.214
Dy 0.312 0.697 0.714
Dy 0.688 0.303 0.286
Dy 0.688 0.697 0.786
Y 0.500 0.182 0.750
Y 0.500 0.818 0.250
Th 0.000 0.446 0.750
Th 0.000 0.554 0.250

Values from the calculation:
formation enthalpy at 0 K	154	kJ/mol of formula units
calculated volume	338.4	Å³ per cell



(7)
The following is a DFT calculation (PBE) of a geometry-optimized PaZnIn structure.

a = 3.171 Å, b = 3.171 Å, c = 7.769 Å
α = 90.00°, β = 90.00°, γ = 120.00°
Sites, in units of the cell vectors:
Pa 0.000 0.000 0.000
Zn 0.333 0.667 0.671
In 0.667 0.333 0.364

Values from the calculation:
formation enthalpy at 0 K	14	kJ/mol of formula units
calculated volume	67.6	Å³ per cell



(8)
The following is a DFT calculation (PBE) of a geometry-optimized NaPmTlBr5 structure.

a = 8.367 Å, b = 8.367 Å, c = 10.682 Å
α = 100.50°, β = 100.50°, γ = 114.48°
Sites, in units of the cell vectors:
Na 0.193 0.807 0.750
Na 0.807 0.193 0.250
Pm 0.500 0.500 0.000
Pm 0.500 0.500 0.500
Tl 0.114 0.886 0.250
Tl 0.886 0.114 0.750
Br 0.118 0.245 0.451
Br 0.192 0.548 0.886
Br 0.245 0.118 0.951
Br 0.416 0.584 0.250
Br 0.452 0.808 0.614
Br 0.548 0.192 0.386
Br 0.584 0.416 0.750
Br 0.755 0.882 0.049
Br 0.808 0.452 0.114
Br 0.882 0.755 0.549

Values from the calculation:
calculated volume	640.8	Å³ per cell
formation energy from raw total energies	-1.522	eV per atom